No. 1
! CaMnCu (PBE, relaxed); values from VASP
! * energy of formation from the pure elements: 243 meV/atom
! * crystal system: tetragonal
! * DOS(E_F): 2.22 states/eV/cell
! * magnetic moment: 4.03 μB/f.u.
&SYSTEM
  ibrav = 0, nat = 3, ntyp = 3
/
ATOMIC_SPECIES
Cu 63.55 Cu.upf
Mn 54.94 Mn.upf
Ca 40.08 Ca.upf
ATOMIC_POSITIONS angstrom
Cu -1.627 -3.907 1.849
Mn -5.352 -6.144 1.309
Ca -7.948 -7.704 0.932
CELL_PARAMETERS angstrom
-4.709 -2.978 1.709
-3.282 -4.752 -0.783
1.054 -2.296 2.238

---

No. 2
! NaPdAuSCl (PBE, relaxed); values from VASP
! * crystal system: monoclinic
! * excess energy over the best structure of this formula in the dataset: 81 meV/atom
! * energy relative to the elements, uncorrected: -0.53 eV/atom
! * DOS(E_F): 3.40 states/eV/cell
! * magnetic moment: 0.00 μB/f.u.
&SYSTEM
  ibrav = 0, nat = 10, ntyp = 5
/
ATOMIC_SPECIES
Pd 106.42 Pd.upf
S 32.06 S.upf
Na 22.99 Na.upf
Au 196.97 Au.upf
Cl 35.45 Cl.upf
ATOMIC_POSITIONS angstrom
Pd 2.195 1.870 1.748
Pd 2.107 0.000 6.845
S 1.008 1.870 6.068
S 1.096 0.000 0.971
Na 0.162 0.000 3.843
Na 0.074 1.870 8.940
Au 2.697 0.000 9.670
Au 2.785 1.870 4.573
Cl 4.642 1.870 3.072
Cl 4.554 0.000 8.169
CELL_PARAMETERS angstrom
6.359 0.000 0.002
0.000 3.741 0.000
-0.176 0.000 10.194

---

No. 3
! SrCdOsO6 (PBE, relaxed); values from VASP
! * crystal system: trigonal
! * energy relative to the elements, uncorrected: -1.38 eV/atom
! * magnetic moment: 0.00 μB/f.u.
&SYSTEM
  ibrav = 0, nat = 9, ntyp = 4
/
ATOMIC_SPECIES
O 16.00 O.upf
Sr 87.62 Sr.upf
Cd 112.41 Cd.upf
Os 190.23 Os.upf
ATOMIC_POSITIONS angstrom
O -0.675 1.269 2.135
O -3.188 1.655 1.342
O -0.840 3.251 3.804
O -2.653 1.237 3.917
O -3.409 3.616 3.203
O -1.568 3.683 1.279
Sr 0.550 5.025 0.703
Cd -4.387 2.391 4.876
Os -2.056 2.452 2.614
CELL_PARAMETERS angstrom
-5.432 0.399 1.411
-1.561 -0.581 5.375
0.551 5.025 0.703